Density functional theory data (GGA-PBE) for a relaxed Y2MgIn crystal.

a b c (Å): 5.4920 5.4920 6.2178
angles (deg): 101.28 101.28 38.79
With the nearest neighbours (Å) after each atom.
Atoms (fractional coordinates):
1 Y 0.2461 0.2461 0.2450  3 In 3.25-3.30, 3 Mg 3.27-3.32, 2 Y 3.57
2 Y 0.7539 0.7539 0.7550  3 In 3.25-3.30, 3 Mg 3.27-3.32, 2 Y 3.57
3 Mg 0.0000 0.0000 0.5000  6 Y 3.27-3.32, 4 In 3.60, 2 Mg 3.65
4 In 0.5000 0.5000 0.0000  6 Y 3.25-3.30, 4 Mg 3.60

Properties
- Formation energy from the elements: -0.1711 eV per atom
- Space group: C2/m
- Total magnetic moment: 0.0000 μB per atom